{
  "formula": "YTl2GaS",
  "functional": "GGA-PBE",
  "state": "relaxed",
  "total_energy_ev_per_cell": -17.71,
  "formation_energy_uncorrected_ev_per_atom": 0.13,
  "cell": [[5.1655, 0.0000, 0.0000], [0.0000, 5.1655, 0.0000], [0.0000, 0.0000, 5.7300]],
  "species": ["Y", "Tl", "Tl", "Ga", "S"],
  "fractional_positions": [[0.0000, 0.0000, 0.0000], [0.0000, 0.5000, 0.5000], [0.5000, 0.0000, 0.5000], [0.0000, 0.0000, 0.5000], [0.5000, 0.5000, 0.0000]]
}